# GGA+U CoSnAs2F, optimized geometry
data_CoSnAs2F
_cell_length_a 5.2318
_cell_length_b 5.2318
_cell_length_c 4.9455
_cell_angle_alpha 90.00
_cell_angle_beta 90.00
_cell_angle_gamma 90.00
_space_group_name_H-M_alt 'P 4/m m m'
_space_group_IT_number 123
_space_group_name_Hall '-P 4 2'
loop_
_atom_site_label
_atom_site_fract_x
_atom_site_fract_y
_atom_site_fract_z
_atom_site_occupancy
Co1 0.0000 0.0000 0.0000 1
Sn1 0.0000 0.0000 0.5000 1
As1 0.0000 0.5000 0.5000 1
F1 0.5000 0.5000 0.0000 1
# **Uncorrected energy**: -15.810 eV for the cell shown
# **Size of the total moment**: 2.71 μB/cell